Below is Tb5ZnTe2 after structural relaxation, with properties calculated at the PBE level.

abc: 7.0057 7.0057 13.0110
angles: 90.00 90.00 129.42
Fractional coordinates of all 16 atoms:
Tb (0.0549, 0.9451, 0.6131)
Tb (0.0549, 0.9451, 0.8869)
Tb (0.3703, 0.6297, 0.2500)
Tb (0.3819, 0.6181, 0.5664)
Tb (0.3819, 0.6181, 0.9336)
Tb (0.6181, 0.3819, 0.0664)
Tb (0.6181, 0.3819, 0.4336)
Tb (0.6297, 0.3703, 0.7500)
Tb (0.9451, 0.0549, 0.1131)
Tb (0.9451, 0.0549, 0.3869)
Zn (0.2413, 0.7587, 0.7500)
Zn (0.7587, 0.2413, 0.2500)
Te (0.1881, 0.8119, 0.0894)
Te (0.1881, 0.8119, 0.4106)
Te (0.8119, 0.1881, 0.5894)
Te (0.8119, 0.1881, 0.9106)

Values from the calculation:
* formation energy (no corrections): -0.49 eV/atom
* total moment: 0.00 μB/f.u.
* energy: -4.33 eV/atom